(1)
Cs2NdPbBr6 | PBE | optimized geometry

Output
* calculated total energy: -3.516 eV/atom
* raw formation energy: -34.4 kcal/mol of atoms

The structure in CIF format:
```
data_Cs2NdPbBr6
_chemical_formula_sum 'Cs4 Nd2 Pb2 Br12'
_space_group_name_H-M_alt 'P m m n'
_space_group_IT_number 59
_cell_length_a 8.028
_cell_length_b 11.699
_cell_length_c 9.632
_cell_angle_alpha 90.00
_cell_angle_beta 90.00
_cell_angle_gamma 90.00
loop_
_space_group_symop_operation_xyz
'x,y,z'
'-x,-y,-z'
'-x+1/2,-y+1/2,z'
'x+1/2,y+1/2,-z'
'x+1/2,-y,-z'
'-x+1/2,y,z'
'-x,y+1/2,-z'
'x,-y+1/2,z'
loop_
_atom_site_label
_atom_site_type_symbol
_atom_site_fract_x
_atom_site_fract_y
_atom_site_fract_z
Cs1 Cs 0.250 0.015 0.195
Nd1 Nd 0.250 0.750 0.774
Pb1 Pb 0.250 0.250 0.713
Br1 Br 0.002 0.750 0.995
Br2 Br 0.016 0.250 0.425
Br3 Br 0.250 0.502 0.789
```

(2)
CsNdPbBr6 | PBE | optimized geometry

Output
* calculated total energy: -3.655 eV/atom
* raw formation energy: -34.7 kcal/mol of atoms

The structure in CIF format:
```
data_CsNdPbBr6
_chemical_formula_sum 'Cs4 Nd4 Pb4 Br24'
_space_group_name_H-M_alt 'I m m a'
_space_group_IT_number 74
_space_group_name_Hall '-I 2b 2'
_cell_length_a 10.553
_cell_length_b 10.989
_cell_length_c 15.433
_cell_angle_alpha 90.00
_cell_angle_beta 90.00
_cell_angle_gamma 90.00
loop_
_atom_site_label
_atom_site_type_symbol
_atom_site_fract_x
_atom_site_fract_y
_atom_site_fract_z
Cs1 Cs 0.000 0.250 0.075
Nd1 Nd 0.000 0.000 0.500
Pb1 Pb 0.250 0.250 0.750
Br1 Br 0.000 0.250 0.437
Br2 Br 0.000 0.250 0.843
Br3 Br 0.202 0.039 0.624
```

> raw formation energy of number 2 (CsNdPbBr6)?

-34.7 kcal/mol of atoms

> What is the formula in the second record?

CsNdPbBr6